# GaNiMo4N2 PBE relaxed
# - Total moment: 0.01 μB per formula unit
# - Final energy: -69.043 eV per cell
# - V: 12.5 A^3/atom
data_GaNiMo4N2
_chemical_formula_sum 'Ga1 Ni1 Mo4 N2'
_cell_length_a 2.828
_cell_length_b 2.828
_cell_length_c 14.422
_cell_angle_alpha 90.00
_cell_angle_beta 90.00
_cell_angle_gamma 120.00
_symmetry_space_group_name_H-M 'P 1'
_symmetry_Int_Tables_number 1
_symmetry_space_group_name_Hall 'P 1'
loop_
_atom_site_label
_atom_site_type_symbol
_atom_site_fract_x
_atom_site_fract_y
_atom_site_fract_z
N1 N 0.667 0.333 0.748
Mo1 Mo 0.000 0.000 0.648
Ni1 Ni 0.333 0.667 0.500
Mo2 Mo 0.333 0.667 0.845
Mo3 Mo 0.000 0.000 0.352
Mo4 Mo 0.333 0.667 0.155
N2 N 0.667 0.333 0.252
Ga1 Ga 0.000 0.000 0.000

# TbYNi2B2P2 PBE relaxed
# - Total moment: 0.00 μB per formula unit
# - Final energy: -52.400 eV per cell
# - V: 15.0 A^3/atom
data_TbYNi2B2P2
_chemical_formula_sum 'Tb1 Y1 Ni2 B2 P2'
_cell_length_a 3.910
_cell_length_b 3.910
_cell_length_c 7.868
_cell_angle_alpha 90.00
_cell_angle_beta 90.00
_cell_angle_gamma 90.00
_symmetry_space_group_name_H-M 'P 1'
_symmetry_Int_Tables_number 1
_symmetry_space_group_name_Hall 'P 1'
loop_
_atom_site_label
_atom_site_type_symbol
_atom_site_fract_x
_atom_site_fract_y
_atom_site_fract_z
P1 P 0.000 0.000 0.158
Ni1 Ni 0.000 0.500 0.500
Tb1 Tb 0.000 0.000 0.794
B1 B 0.000 0.000 0.406
Y1 Y 0.500 0.500 0.203
Ni2 Ni 0.500 0.000 0.500
P2 P 0.500 0.500 0.843
B2 B 0.500 0.500 0.595

# BaSbPtAu PBE relaxed
# - Total moment: 0.01 μB per formula unit
# - V: 24.7 A^3/atom
# - Energy above the lowest structure with this stoichiometry: 0.129 eV/atom
data_BaSbPtAu
_chemical_formula_sum 'Ba1 Sb1 Pt1 Au1'
_cell_length_a 5.186
_cell_length_b 5.186
_cell_length_c 5.186
_cell_angle_alpha 60.00
_cell_angle_beta 60.00
_cell_angle_gamma 60.00
_symmetry_space_group_name_H-M 'P 1'
_symmetry_Int_Tables_number 1
_symmetry_space_group_name_Hall 'P 1'
loop_
_atom_site_label
_atom_site_type_symbol
_atom_site_fract_x
_atom_site_fract_y
_atom_site_fract_z
Ba1 Ba 0.000 0.000 0.000
Pt1 Pt 0.500 0.500 0.500
Au1 Au 0.750 0.750 0.750
Sb1 Sb 0.250 0.250 0.250

# Y2NiPd PBE relaxed
# - Total moment: 0.00 μB per formula unit
# - V: 21.5 A^3/atom
# - Formation energy: -665 meV per atom
data_Y2NiPd
_chemical_formula_sum 'Y4 Ni2 Pd2'
_cell_length_a 4.442
_cell_length_b 5.522
_cell_length_c 7.025
_cell_angle_alpha 90.00
_cell_angle_beta 90.00
_cell_angle_gamma 90.00
_symmetry_space_group_name_H-M 'P 1'
_symmetry_Int_Tables_number 1
_symmetry_space_group_name_Hall 'P 1'
loop_
_atom_site_label
_atom_site_type_symbol
_atom_site_fract_x
_atom_site_fract_y
_atom_site_fract_z
Pd1 Pd 0.000 0.608 0.464
Y1 Y 0.500 0.615 0.181
Ni1 Ni 0.500 0.106 0.040
Ni2 Ni 0.500 0.894 0.540
Pd2 Pd 0.000 0.392 0.964
Y2 Y 0.000 0.105 0.316
Y3 Y 0.000 0.895 0.816
Y4 Y 0.500 0.385 0.681

# GdCoC PBE relaxed
# - Total moment: 0.37 μB per formula unit
# - Final energy: -43.668 eV per cell
# - V: 15.5 A^3/atom
data_GdCoC
_chemical_formula_sum 'Gd2 Co2 C2'
_cell_length_a 3.635
_cell_length_b 3.635
_cell_length_c 7.047
_cell_angle_alpha 90.00
_cell_angle_beta 90.00
_cell_angle_gamma 90.00
_symmetry_space_group_name_H-M 'P 1'
_symmetry_Int_Tables_number 1
_symmetry_space_group_name_Hall 'P 1'
loop_
_atom_site_label
_atom_site_type_symbol
_atom_site_fract_x
_atom_site_fract_y
_atom_site_fract_z
Gd1 Gd 0.000 0.000 0.750
Gd2 Gd 0.000 0.000 0.250
Co1 Co 0.500 0.500 0.500
C1 C 0.000 0.500 0.000
C2 C 0.500 0.000 0.500
Co2 Co 0.500 0.500 0.000

# ThTaPb PBE relaxed
# - Total moment: 0.80 μB per formula unit
# - Final energy: -20.553 eV per cell
# - V: 29.6 A^3/atom
data_ThTaPb
_chemical_formula_sum 'Th1 Ta1 Pb1'
_cell_length_a 5.009
_cell_length_b 5.009
_cell_length_c 5.009
_cell_angle_alpha 60.00
_cell_angle_beta 60.00
_cell_angle_gamma 60.00
_symmetry_space_group_name_H-M 'P 1'
_symmetry_Int_Tables_number 1
_symmetry_space_group_name_Hall 'P 1'
loop_
_atom_site_label
_atom_site_type_symbol
_atom_site_fract_x
_atom_site_fract_y
_atom_site_fract_z
Th1 Th 0.750 0.750 0.750
Pb1 Pb 0.000 0.000 0.000
Ta1 Ta 0.250 0.250 0.250

# Gd2Ho5Tm PBE relaxed
# - Total moment: 0.20 μB per formula unit
# - V: 31.3 A^3/atom
# - Formation energy: 6 meV per atom
data_Gd2Ho5Tm
_chemical_formula_sum 'Gd2 Ho5 Tm1'
_cell_length_a 5.611
_cell_length_b 7.184
_cell_length_c 7.184
_cell_angle_alpha 59.99
_cell_angle_beta 90.00
_cell_angle_gamma 90.00
_symmetry_space_group_name_H-M 'P 1'
_symmetry_Int_Tables_number 1
_symmetry_space_group_name_Hall 'P 1'
loop_
_atom_site_label
_atom_site_type_symbol
_atom_site_fract_x
_atom_site_fract_y
_atom_site_fract_z
Tm1 Tm 0.000 0.166 0.166
Ho1 Ho 0.500 0.834 0.834
Ho2 Ho 0.000 0.668 0.166
Ho3 Ho 0.500 0.332 0.834
Ho4 Ho 0.500 0.834 0.332
Gd1 Gd 0.000 0.667 0.667
Ho5 Ho 0.000 0.166 0.668
Gd2 Gd 0.500 0.333 0.333

# Sb2OsC6O6F12 PBE relaxed
# - Total moment: 0.00 μB per formula unit
# - Final energy: -335.229 eV per cell
# - V: 12.7 A^3/atom
data_Sb2OsC6O6F12
_chemical_formula_sum 'Sb4 Os2 C12 O12 F24'
_cell_length_a 7.699
_cell_length_b 7.699
_cell_length_c 11.583
_cell_angle_alpha 90.00
_cell_angle_beta 90.00
_cell_angle_gamma 90.00
_symmetry_space_group_name_H-M 'P 1'
_symmetry_Int_Tables_number 1
_symmetry_space_group_name_Hall 'P 1'
loop_
_atom_site_label
_atom_site_type_symbol
_atom_site_fract_x
_atom_site_fract_y
_atom_site_fract_z
F1 F 0.626 0.117 0.132
F2 F 0.874 0.617 0.368
F3 F 0.617 0.126 0.632
F4 F 0.126 0.383 0.632
F5 F 0.883 0.626 0.868
O1 O 0.717 0.847 0.500
F6 F 0.674 0.826 0.750
F7 F 0.374 0.883 0.868
O2 O 0.500 0.500 0.229
C1 C 0.500 0.500 0.673
C2 C 0.722 0.361 0.500
C3 C 0.139 0.778 0.000
O3 O 0.153 0.717 0.500
C4 C 0.222 0.139 0.000
F8 F 0.826 0.326 0.750
F9 F 0.874 0.617 0.632
F10 F 0.174 0.674 0.750
Os1 Os 0.000 0.000 0.000
F11 F 0.126 0.383 0.368
O4 O 0.783 0.347 0.000
F12 F 0.326 0.174 0.750
F13 F 0.117 0.374 0.132
Sb1 Sb 0.500 0.000 0.250
O5 O 0.000 0.000 0.729
Sb2 Sb 0.000 0.500 0.250
F14 F 0.117 0.374 0.868
F15 F 0.374 0.883 0.132
O6 O 0.653 0.783 0.000
C5 C 0.861 0.222 0.000
F16 F 0.626 0.117 0.868
F17 F 0.883 0.626 0.132
O7 O 0.217 0.653 0.000
F18 F 0.326 0.174 0.250
Sb3 Sb 0.500 0.000 0.750
C6 C 0.639 0.722 0.500
F19 F 0.174 0.674 0.250
O8 O 0.500 0.500 0.771
C7 C 0.278 0.639 0.500
O9 O 0.347 0.217 0.000
C8 C 0.778 0.861 0.000
O10 O 0.847 0.283 0.500
C9 C 0.361 0.278 0.500
Os2 Os 0.500 0.500 0.500
O11 O 0.000 0.000 0.271
Sb4 Sb 0.000 0.500 0.750
F20 F 0.617 0.126 0.368
C10 C 0.000 0.000 0.173
C11 C 0.000 0.000 0.827
C12 C 0.500 0.500 0.327
F21 F 0.383 0.874 0.368
F22 F 0.383 0.874 0.632
O12 O 0.283 0.153 0.500
F23 F 0.674 0.826 0.250
F24 F 0.826 0.326 0.250